Here is a relaxed TlZn2Sb crystal from Alexandria via LeMat-Bulk. Energies are from PBE.

Symmetry: C2/m, No. 12
Energy above the most stable polymorph in this dataset in eV/f.u.: 0.510
Raw formation energy in eV per formula unit: 0.751
Magnetization in μB/f.u.: 0.000

abc: 5.262 5.262 3.401
angles: 96.13 96.13 95.28
Sites, in units of the cell vectors:
Tl 0.000 0.000 0.000
Zn 0.000 0.500 0.500
Zn 0.500 0.000 0.500
Sb 0.500 0.500 0.000


Here is a relaxed TlZn2Sb crystal from Alexandria via LeMat-Bulk. Energies are from PBE.

Symmetry: Cm, No. 8
Energy above the most stable polymorph in this dataset in eV/f.u.: 0.118
Raw formation energy in eV per formula unit: 0.359
Magnetization in μB/f.u.: 0.000

abc: 4.325 4.325 6.704
angles: 108.11 108.11 59.29
Sites, in units of the cell vectors:
Tl 0.000 0.000 0.000
Zn 0.476 0.476 0.435
Zn 0.760 0.760 0.284
Sb 0.200 0.200 0.609


Here is a relaxed Tl2ZnSb5 crystal from Alexandria via LeMat-Bulk. Energies are from PBE.

Symmetry: Cm, No. 8
Raw formation energy in eV per formula unit: 1.170
Magnetization in μB/f.u.: 0.000

abc: 6.702 6.702 6.826
angles: 113.86 113.86 75.12
Sites, in units of the cell vectors:
Tl 0.235 0.765 0.000
Tl 0.765 0.235 0.000
Zn 0.930 0.930 0.281
Sb 0.269 0.269 0.653
Sb 0.290 0.290 0.252
Sb 0.324 0.776 0.555
Sb 0.724 0.724 0.447
Sb 0.776 0.324 0.555


Here is a relaxed TlZnSb2 crystal from Alexandria via LeMat-Bulk. Energies are from PBE.

Symmetry: I-42d, No. 122
Energy above the most stable polymorph in this dataset in eV/f.u.: 0.416
Raw formation energy in eV per formula unit: 0.459
Magnetization in μB/f.u.: 0.000

abc: 8.049 8.049 8.049
angles: 134.05 134.05 67.00
Sites, in units of the cell vectors:
Tl 0.000 0.000 0.000
Tl 0.750 0.250 0.500
Zn 0.250 0.750 0.500
Zn 0.500 0.500 0.000
Sb 0.163 0.625 0.038
Sb 0.375 0.413 0.538
Sb 0.587 0.125 0.962
Sb 0.875 0.837 0.462


Here is a relaxed TlZnSb2 crystal from Alexandria via LeMat-Bulk. Energies are from PBE.

Symmetry: Cm, No. 8
Energy above the most stable polymorph in this dataset in eV/f.u.: 0.540
Raw formation energy in eV per formula unit: 0.582
Magnetization in μB/f.u.: 0.000

abc: 4.307 4.307 8.378
angles: 93.98 93.98 43.43
Sites, in units of the cell vectors:
Tl 0.000 0.000 0.000
Zn 0.748 0.748 0.240
Sb 0.247 0.247 0.709
Sb 0.484 0.484 0.447


Here is a relaxed TlZn5Sb4 crystal from Alexandria via LeMat-Bulk. Energies are from PBE.

Symmetry: Immm, No. 71
Raw formation energy in eV per formula unit: 0.723
Magnetization in μB/f.u.: 0.000

abc: 8.832 8.832 8.832
angles: 151.38 126.56 61.74
Sites, in units of the cell vectors:
Tl 0.000 0.000 0.000
Zn 0.016 0.328 0.688
Zn 0.360 0.672 0.688
Zn 0.500 0.000 0.500
Zn 0.640 0.328 0.312
Zn 0.984 0.672 0.312
Sb 0.238 0.238 0.000
Sb 0.288 0.500 0.788
Sb 0.712 0.500 0.212
Sb 0.762 0.762 0.000


Here is a relaxed TlZnSb crystal from Alexandria via LeMat-Bulk. Energies are from PBE.

Symmetry: P3m1, No. 156
Raw formation energy in eV per formula unit: -0.060
Magnetization in μB/f.u.: 0.000

abc: 4.532 4.532 5.086
angles: 90.00 90.00 120.00
Sites, in units of the cell vectors:
Tl 0.000 0.000 0.000
Zn 0.667 0.333 0.500
Sb 0.333 0.667 0.501


Here is a relaxed TlZnSb2 crystal from Alexandria via LeMat-Bulk. Energies are from PBE.

Symmetry: Imm2, No. 44
Energy above the most stable polymorph in this dataset in eV/f.u.: 0.686
Raw formation energy in eV per formula unit: 0.729
Magnetization in μB/f.u.: 0.000

abc: 6.383 6.383 6.383
angles: 143.49 132.79 61.11
Sites, in units of the cell vectors:
Tl 0.000 0.000 0.000
Zn 0.296 0.796 0.500
Sb 0.539 0.539 0.000
Sb 0.736 0.236 0.500